Version P
LaOsBr2: relaxed, GGA-PBE.

Output
Total magnetization: 0.6 μB per formula unit
Density of states at the Fermi level: 0.97 states/eV per atom

Cell: 4.5958 4.5958 4.1786 Å, 90.00 90.00 90.00°
With the nearest neighbours (Å) after each atom.
Space group P4/mmm (No. 123)
Unique sites:
La (0.0000, 0.0000, 0.0000)  8 Br 3.11, 4 Os 3.25
Os (0.5000, 0.5000, 0.0000)  8 Br 3.11, 4 La 3.25
Br (0.0000, 0.5000, 0.5000)  4 La 3.11, 4 Os 3.11, 4 Br 3.25

Version Q
LaOsBr2: relaxed, GGA-PBE.

Output
Total magnetization: 0.0 μB per formula unit
Density of states at the Fermi level: 1.16 states/eV per atom

Cell: 4.2459 4.2459 22.6068 Å, 90.00 90.00 120.00°
With the nearest neighbours (Å) after each atom.
Space group R3m (No. 160, hexagonal axes)
Unique sites:
La (0.0000, 0.0000, 0.0000)  3 Os 3.00, 6 Br 3.14-3.31
Os (0.0000, 0.0000, 0.7431)  3 Br 2.50
Br (0.0000, 0.0000, 0.2467)  3 La 3.14
Br (0.0000, 0.0000, 0.4315)  3 Os 2.50

Most stable pick: version Q. Distance to second place: 0.386 eV/atom.

Version P
YAlRe: relaxed, GGA-PBE.

Output
Total magnetization: 0.0 μB per formula unit
Density of states at the Fermi level: 1.48 states/eV per atom

Cell: 6.4321 6.4321 6.4321 Å, 90.00 90.00 90.00°
With the nearest neighbours (Å) after each atom.
Space group F-43m (No. 216)
Unique sites:
Y (0.0000, 0.0000, 0.0000)  4 Re 2.79
Al (0.0000, 0.0000, 0.5000)  4 Re 2.79
Re (0.2500, 0.2500, 0.2500)  4 Al 2.79, 4 Y 2.79

Version Q
YAlRe: relaxed, GGA-PBE.

Output
Total magnetization: 0.0 μB per formula unit
Density of states at the Fermi level: 0.75 states/eV per atom

Cell: 5.4955 5.4955 40.0210 Å, 90.00 90.00 120.00°
With the nearest neighbours (Å) after each atom.
Space group R-3m (No. 166, hexagonal axes)
Unique sites:
Y (0.0000, 0.0000, 0.0412)  9 Re 3.21, 3 Al 3.22, 4 Y 3.30-3.34
Y (0.0000, 0.0000, 0.1789)  9 Al 3.19-3.26, 3 Re 3.21, 4 Y 3.32-3.49
Y (0.0000, 0.0000, 0.2662)  6 Re 3.12-3.22, 6 Al 3.25, 4 Y 3.34-3.49
Al (0.0096, 0.5048, 0.2229)  4 Al 2.67-2.83, 2 Re 2.73-2.76
Re (0.0000, 0.0000, 0.3866)  3 Re 2.66, 3 Al 2.76
Re (0.0000, 0.0000, 0.5000)  6 Al 2.73
Re (0.0000, 0.5000, 0.0000)  6 Re 2.66-2.75

Most stable pick: version Q. Distance to second place: 0.812 eV/atom.